VTeO5 after structural relaxation, computed with PBE with a Hubbard U.

Output
Electronic total energy (eV/atom): -6.26
Volume (Å³/f.u.): 102
Magnetization (μB per formula unit): 1.000

Cell lengths 5.6011, 5.6011, 7.5153 Å; angles 110.22, 110.22, 91.81 degrees
Closest atoms and distances in Å follow each position.
Element x y z (fractional)
V 0.0073 0.9927 0.5000  1 O 1.69
V 0.9927 0.0073 0.0000  1 O 1.69
Te 0.3702 0.6266 0.7783  4 O 1.84-1.86
Te 0.6266 0.3702 0.2783  4 O 1.84-1.86
O 0.0393 0.9632 0.2788  1 V 1.69
O 0.2192 0.7179 0.5547  1 Te 1.85, 1 V 2.04
O 0.2695 0.7790 0.9976  1 Te 1.86, 1 V 2.04
O 0.2712 0.3154 0.1902  1 Te 1.85, 1 V 2.01
O 0.3154 0.2712 0.6902  1 Te 1.85, 1 V 2.01
O 0.6864 0.7259 0.3735  1 Te 1.84, 1 V 2.01
O 0.7179 0.2192 0.0547  1 Te 1.85, 1 V 2.04
O 0.7259 0.6864 0.8735  1 Te 1.84, 1 V 2.01
O 0.7790 0.2695 0.4976  1 Te 1.86, 1 V 2.04
O 0.9632 0.0393 0.7788  1 V 1.69